Here is a geometry-optimized RbCa2Ga2 structure from the Alexandria database. Energies are from GGA-PBE.

Cell lengths 6.6639, 6.6639, 6.6639 Å; angles 130.18, 130.18, 73.12 degrees
Fractional coordinates of all 5 atoms:
Rb: 0.0000 0.0000 0.0000
Ca: 0.2500 0.7500 0.5000
Ca: 0.7500 0.2500 0.5000
Ga: 0.3861 0.3861 0.0000
Ga: 0.6139 0.6139 0.0000

Values from the calculation:
**DOS(E_F)**: 2.79 states/eV/cell
**Distance to the lowest polymorph of the same formula**: 4 meV per atom
**Calculated total energy**: -2.34 eV per atom
**Formation energy from the elements**: -137 meV per atom



Here is a geometry-optimized RbCaGa2Rh structure from the Alexandria database. Energies are from GGA-PBE.

Cell lengths 4.9732, 4.9732, 5.4118 Å; angles 90.00, 90.00, 90.00 degrees
Fractional coordinates of all 5 atoms:
Rb: 0.0000 0.0000 0.0000
Ca: 0.5000 0.5000 0.0000
Ga: 0.0000 0.5000 0.5000
Ga: 0.5000 0.0000 0.5000
Rh: 0.5000 0.5000 0.5000

Values from the calculation:
**DOS(E_F)**: 2.99 states/eV/cell
**Calculated total energy**: -3.55 eV per atom
**Formation energy from the elements**: -273 meV per atom



Here is a geometry-optimized RbCa2GaRh structure from the Alexandria database. Energies are from GGA-PBE.

Cell lengths 5.6176, 5.6176, 5.0156 Å; angles 90.00, 90.00, 90.00 degrees
Fractional coordinates of all 5 atoms:
Rb: 0.0000 0.0000 0.0000
Ca: 0.0000 0.5000 0.5000
Ca: 0.5000 0.0000 0.5000
Ga: 0.5000 0.5000 0.0000
Rh: 0.5000 0.5000 0.5000

Values from the calculation:
**DOS(E_F)**: 3.08 states/eV/cell
**Calculated total energy**: -3.28 eV per atom
**Formation energy from the elements**: -213 meV per atom